BaMg2Co, relaxed, DFT PBE; DFT total energy = -2.553 eV/atom; formation energy = 48 kJ/mol of atoms; crystal system = tetragonal
1.0
-5.421 -0.146 0.685
0.344 -3.966 1.873
0.447 1.900 3.942
Ba Co Mg
1 1 2
direct
0.500 0.500 0.000
0.500 0.000 0.500
0.000 0.000 0.000
0.000 0.500 0.500